Record 1
{"formula": "Dy2YEr4Co2Te2", "functional": "PBE", "state": "optimized geometry", "crystal_system": "orthorhombic", "final_energy_ev_per_cell": -61.2, "spacegroup": "Imm2 (44)", "lattice_angstrom": [[-1.9072, 7.7877, 4.7247], [1.9072, -7.7877, 4.7247], [1.9072, 7.7877, -4.7247]], "species": ["Co", "Co", "Dy", "Dy", "Er", "Er", "Er", "Er", "Te", "Te", "Y"], "fractional_positions": [[0.6418, 0.4047, 0.2371], [0.1676, 0.4047, 0.7629], [0.0280, 0.8945, 0.1335], [0.7610, 0.8945, 0.8665], [0.4119, 0.0978, 0.3141], [0.0983, 0.7470, 0.3513], [0.3957, 0.7470, 0.6487], [0.7837, 0.0978, 0.6859], [0.1415, 0.1415, 0.0000], [0.7404, 0.2404, 0.5000], [0.4762, 0.4762, 0.0000]]}


Record 2
{"formula": "DyErZnCo2", "functional": "PBE", "state": "optimized geometry", "crystal_system": "orthorhombic", "final_energy_ev_per_cell": -26.2, "spacegroup": "Imm2 (44)", "lattice_angstrom": [[-0.4817, -2.6220, 4.5712], [3.9094, 2.2345, 2.7798], [-4.4062, 1.7681, -2.3371]], "species": ["Co", "Co", "Dy", "Er", "Zn"], "fractional_positions": [[0.7110, 0.4995, 0.2115], [0.2881, 0.4995, 0.7885], [0.7074, 0.2074, 0.5000], [0.2929, 0.7929, 0.5000], [0.0006, 0.0006, 0.0000]]}


Record 3
{"formula": "Dy3Fe8Co", "functional": "PBE", "state": "optimized geometry", "crystal_system": "trigonal", "final_energy_ev_per_cell": -88.6, "spacegroup": "R-3m (166)", "lattice_angstrom": [[-6.0176, -4.6027, -4.0321], [-3.9913, -7.5818, -0.4905], [-7.4716, -4.1489, 0.7849]], "species": ["Co", "Dy", "Dy", "Dy", "Fe", "Fe", "Fe", "Fe", "Fe", "Fe", "Fe", "Fe"], "fractional_positions": [[0.5000, 0.5000, 0.5000], [0.0000, 0.0000, 0.0000], [0.1420, 0.1420, 0.1420], [0.8580, 0.8580, 0.8580], [0.5812, 0.5812, 0.0819], [0.3327, 0.3327, 0.3327], [0.9182, 0.4188, 0.4188], [0.4188, 0.9182, 0.4188], [0.5812, 0.0819, 0.5812], [0.0819, 0.5812, 0.5812], [0.6673, 0.6673, 0.6673], [0.4188, 0.4188, 0.9182]]}


Record 4
{"formula": "DyFe2Co", "functional": "PBE", "state": "optimized geometry", "crystal_system": "trigonal", "final_energy_ev_per_cell": -86.4, "spacegroup": "R-3m (166)", "lattice_angstrom": [[2.5219, 1.4560, 8.1065], [-2.5219, 1.4560, 8.1065], [0.0000, -2.9120, 8.1065]], "species": ["Co", "Co", "Co", "Dy", "Dy", "Dy", "Fe", "Fe", "Fe", "Fe", "Fe", "Fe"], "fractional_positions": [[0.3323, 0.3323, 0.3323], [0.5000, 0.5000, 0.5000], [0.6677, 0.6677, 0.6677], [0.0000, 0.0000, 0.0000], [0.1421, 0.1421, 0.1421], [0.8579, 0.8579, 0.8579], [0.5815, 0.5815, 0.0816], [0.9184, 0.4185, 0.4185], [0.4185, 0.9184, 0.4185], [0.0816, 0.5815, 0.5815], [0.5815, 0.0816, 0.5815], [0.4185, 0.4185, 0.9184]]}


Record 5
{"formula": "Dy3Fe2Co7", "functional": "PBE", "state": "optimized geometry", "crystal_system": "trigonal", "final_energy_ev_per_cell": -82.3, "spacegroup": "R-3m (166)", "lattice_angstrom": [[-8.2642, 0.1616, -1.5692], [-7.6772, 0.1354, 3.4391], [-7.1027, 4.4277, 0.8557]], "species": ["Co", "Co", "Co", "Co", "Co", "Co", "Co", "Dy", "Dy", "Dy", "Fe", "Fe"], "fractional_positions": [[0.5825, 0.5825, 0.0804], [0.9196, 0.4175, 0.4175], [0.4175, 0.9196, 0.4175], [0.5000, 0.5000, 0.5000], [0.5825, 0.0804, 0.5825], [0.0804, 0.5825, 0.5825], [0.4175, 0.4175, 0.9196], [0.0000, 0.0000, 0.0000], [0.1407, 0.1407, 0.1407], [0.8593, 0.8593, 0.8593], [0.3338, 0.3338, 0.3338], [0.6662, 0.6662, 0.6662]]}


Record 6
{"formula": "Dy2Fe2Co15", "functional": "PBE", "state": "optimized geometry", "crystal_system": "trigonal", "final_energy_ev_per_cell": -134.5, "spacegroup": "R-3m (166)", "lattice_angstrom": [[4.1379, 2.3890, 4.0138], [-4.1379, 2.3890, 4.0138], [0.0000, -4.7781, 4.0138]], "species": ["Co", "Co", "Co", "Co", "Co", "Co", "Co", "Co", "Co", "Co", "Co", "Co", "Co", "Co", "Co", "Dy", "Dy", "Fe", "Fe"], "fractional_positions": [[0.5000, 0.0000, 0.0000], [0.7107, 0.2893, 0.0000], [0.0000, 0.5000, 0.0000], [0.2893, 0.7107, 0.0000], [0.6532, 0.6532, 0.1516], [0.7107, 0.0000, 0.2893], [0.0000, 0.7107, 0.2893], [0.8484, 0.3468, 0.3468], [0.3468, 0.8484, 0.3468], [0.0000, 0.0000, 0.5000], [0.6532, 0.1516, 0.6532], [0.1516, 0.6532, 0.6532], [0.2893, 0.0000, 0.7107], [0.0000, 0.2893, 0.7107], [0.3468, 0.3468, 0.8484], [0.3453, 0.3453, 0.3453], [0.6547, 0.6547, 0.6547], [0.0981, 0.0981, 0.0981], [0.9019, 0.9019, 0.9019]]}


Record 7
{"formula": "DyFeCoGe2", "functional": "PBE", "state": "optimized geometry", "crystal_system": "tetragonal", "final_energy_ev_per_cell": -32.0, "spacegroup": "I-4m2 (119)", "lattice_angstrom": [[-1.9993, 1.9993, 4.9810], [1.9993, -1.9993, 4.9810], [1.9993, 1.9993, -4.9810]], "species": ["Co", "Dy", "Fe", "Ge", "Ge"], "fractional_positions": [[0.0000, 0.0000, 0.0000], [0.7500, 0.2500, 0.5000], [0.5000, 0.5000, 0.0000], [0.1196, 0.6196, 0.5000], [0.3804, 0.8804, 0.5000]]}


Record 8
{"formula": "DyHo2Fe6Co3", "functional": "PBE", "state": "optimized geometry", "crystal_system": "trigonal", "final_energy_ev_per_cell": -86.4, "spacegroup": "R-3m (166)", "lattice_angstrom": [[2.9256, 6.7234, 4.4794], [6.1595, 5.9497, 0.7004], [1.8397, 8.3919, -0.1439]], "species": ["Co", "Co", "Co", "Dy", "Fe", "Fe", "Fe", "Fe", "Fe", "Fe", "Ho", "Ho"], "fractional_positions": [[0.3325, 0.3325, 0.3325], [0.5000, 0.5000, 0.5000], [0.6675, 0.6675, 0.6675], [0.0000, 0.0000, 0.0000], [0.5820, 0.5820, 0.0816], [0.9184, 0.4180, 0.4180], [0.4180, 0.9184, 0.4180], [0.5820, 0.0816, 0.5820], [0.0816, 0.5820, 0.5820], [0.4180, 0.4180, 0.9184], [0.1421, 0.1421, 0.1421], [0.8579, 0.8579, 0.8579]]}


Record 9
{"formula": "Dy2HoFe8Co", "functional": "PBE", "state": "optimized geometry", "crystal_system": "trigonal", "final_energy_ev_per_cell": -88.6, "spacegroup": "R-3m (166)", "lattice_angstrom": [[6.3263, 4.4749, 3.6744], [8.4834, 1.1214, 0.5681], [6.5365, 5.3997, -1.2904]], "species": ["Co", "Dy", "Dy", "Fe", "Fe", "Fe", "Fe", "Fe", "Fe", "Fe", "Fe", "Ho"], "fractional_positions": [[0.5000, 0.5000, 0.5000], [0.1418, 0.1418, 0.1418], [0.8582, 0.8582, 0.8582], [0.5815, 0.5815, 0.0814], [0.3328, 0.3328, 0.3328], [0.9186, 0.4185, 0.4185], [0.4185, 0.9186, 0.4185], [0.5815, 0.0814, 0.5815], [0.0814, 0.5815, 0.5815], [0.6672, 0.6672, 0.6672], [0.4185, 0.4185, 0.9186], [0.0000, 0.0000, 0.0000]]}


Record 10
{"formula": "DyHo2Fe8Co", "functional": "PBE", "state": "optimized geometry", "crystal_system": "trigonal", "final_energy_ev_per_cell": -88.6, "spacegroup": "R-3m (166)", "lattice_angstrom": [[4.1645, 4.2593, 6.1627], [7.5964, 2.8816, 2.7302], [4.6849, 6.9194, 1.9069]], "species": ["Co", "Dy", "Fe", "Fe", "Fe", "Fe", "Fe", "Fe", "Fe", "Fe", "Ho", "Ho"], "fractional_positions": [[0.5000, 0.5000, 0.5000], [0.0000, 0.0000, 0.0000], [0.5818, 0.5818, 0.0819], [0.3328, 0.3328, 0.3328], [0.9181, 0.4182, 0.4182], [0.4182, 0.9181, 0.4182], [0.5818, 0.0819, 0.5818], [0.0819, 0.5818, 0.5818], [0.6672, 0.6672, 0.6672], [0.4182, 0.4182, 0.9181], [0.1420, 0.1420, 0.1420], [0.8580, 0.8580, 0.8580]]}


Record 11
{"formula": "DyHo2Fe7Co2", "functional": "PBE", "state": "optimized geometry", "crystal_system": "trigonal", "final_energy_ev_per_cell": -87.4, "spacegroup": "R-3m (166)", "lattice_angstrom": [[2.5166, 1.4529, 8.0973], [-2.5166, 1.4529, 8.0973], [0.0000, -2.9059, 8.0973]], "species": ["Co", "Co", "Dy", "Fe", "Fe", "Fe", "Fe", "Fe", "Fe", "Fe", "Ho", "Ho"], "fractional_positions": [[0.3326, 0.3326, 0.3326], [0.6674, 0.6674, 0.6674], [0.0000, 0.0000, 0.0000], [0.5814, 0.5814, 0.0821], [0.4186, 0.9179, 0.4186], [0.9179, 0.4186, 0.4186], [0.5000, 0.5000, 0.5000], [0.0821, 0.5814, 0.5814], [0.5814, 0.0821, 0.5814], [0.4186, 0.4186, 0.9179], [0.1420, 0.1420, 0.1420], [0.8580, 0.8580, 0.8580]]}


Record 12
{"formula": "DyHo2Fe3Co6", "functional": "PBE", "state": "optimized geometry", "crystal_system": "trigonal", "final_energy_ev_per_cell": -83.6, "spacegroup": "R-3m (166)", "lattice_angstrom": [[2.5275, 1.4593, 7.8690], [-2.5275, 1.4593, 7.8690], [0.0000, -2.9185, 7.8690]], "species": ["Co", "Co", "Co", "Co", "Co", "Co", "Dy", "Fe", "Fe", "Fe", "Ho", "Ho"], "fractional_positions": [[0.5824, 0.5824, 0.0809], [0.9191, 0.4176, 0.4176], [0.4176, 0.9191, 0.4176], [0.5824, 0.0809, 0.5824], [0.0809, 0.5824, 0.5824], [0.4176, 0.4176, 0.9191], [0.0000, 0.0000, 0.0000], [0.3333, 0.3333, 0.3333], [0.5000, 0.5000, 0.5000], [0.6667, 0.6667, 0.6667], [0.1409, 0.1409, 0.1409], [0.8591, 0.8591, 0.8591]]}